Record 1
This record from Alexandria describes an optimized crystal structure of KCdRe3. The functional is GGA-PBEsol.

The structure belongs to space group Pm-3m (No. 221); the cell edges are 4.503, 4.503 and 4.503 Å and the angles 90.00°, 90.00° and 90.00°. The inequivalent atoms are K at (0.000, 0.000, 0.000), Cd at (0.500, 0.500, 0.500) and Re at (0.000, 0.000, 0.500).

The calculation puts the formation energy at 3.733 eV per atom. The value obtained for the total moment is 0.001 Bohr magnetons per cell. The value obtained for the density is 12916 kg/m3.

---

Record 2
This record from Alexandria describes an optimized crystal structure of KCdRe. The functional is GGA-PBEsol.

The structure belongs to space group P3m1 (No. 156); the cell edges are 5.2428, 5.2428 and 2.6254 Å and the angles 90.00°, 90.00° and 120.00°. The inequivalent atoms are K at (0.0000, 0.0000, 0.0000), Cd at (0.6667, 0.3333, 0.4050) and Re at (0.3333, 0.6667, 0.5992).

The calculation puts the formation energy at 1.290 eV per atom. The value obtained for the total moment is 0.025 Bohr magnetons per cell. The value obtained for the density is 8973 kg/m3.

---

Record 3
This record from Alexandria describes an optimized crystal structure of K2CdReSb. The functional is GGA-PBEsol.

The structure belongs to space group P4/mmm (No. 123); the cell edges are 6.579, 6.579 and 5.404 Å and the angles 90.00°, 90.00° and 90.00°. The inequivalent atoms are K at (0.000, 0.500, 0.000), Cd at (0.000, 0.000, 0.500), Re at (0.500, 0.500, 0.500) and Sb at (0.000, 0.000, 0.000).

The value obtained for the total moment is 4.511 Bohr magnetons per cell. The calculation puts the raw formation energy at 7.2 eV per formula unit. The value obtained for the density is 3539 kg/m3.

---

Record 4
This record from Alexandria describes an optimized crystal structure of KCdRh2. The functional is GGA-PBEsol.

The structure belongs to space group P4/mmm (No. 123); the cell edges are 4.084, 4.084 and 4.280 Å and the angles 90.00°, 90.00° and 90.00°. The inequivalent atoms are K at (0.000, 0.000, 0.000), Cd at (0.500, 0.500, 0.000) and Rh at (0.000, 0.500, 0.500).

The calculation puts the formation energy at 0.740 eV per atom. The value obtained for the total moment is 0.349 Bohr magnetons per cell. The value obtained for the density is 8313 kg/m3.